LaSbTe2Ru (GGA-PBE, optimized geometry); space-group type = No. 123; energy above the lowest structure with this stoichiometry = 1331.8 meV per atom; DOS(E_F) = 1.81 states/eV/atom; total magnetic moment = 2.93 μB per formula unit; calculated volume = 44.5 Å³/atom; formation energy (no corrections) = 5.1 eV per formula unit
1.0
-0.755 -5.562 2.246
0.720 -2.332 -5.531
5.990 -0.426 0.959
Sb Te Ru La
1 2 1 1
direct
0.000 0.000 0.500
0.000 0.500 0.000
0.500 0.000 0.000
0.500 0.500 0.500
0.000 0.000 0.000